1.
Density functional theory data (GGA-PBE) for a relaxed Dy8ZnTe2 crystal.

a b c (Å): 6.2434 8.4988 8.4988
angles (deg): 46.34 93.48 93.48
Fractional coordinates of all 11 atoms:
Dy 0.8831 0.1950 0.1950
Dy 0.3451 0.8410 0.3431
Dy 0.6549 0.1590 0.6569
Dy 0.8723 0.5850 0.5850
Dy 0.3451 0.3431 0.8410
Dy 0.6549 0.6569 0.1590
Dy 0.1277 0.4150 0.4150
Dy 0.1169 0.8050 0.8050
Zn 0.0000 0.0000 0.0000
Te 0.6145 0.7399 0.7399
Te 0.3855 0.2601 0.2601

Results
Space-group type   C2/m, No. 12
ρ   8.266 g/cm³
VASP energy   -4.41 eV per atom

=====

2.
Density functional theory data (GGA-PBE) for a relaxed Dy3ZnTe2 crystal.

a b c (Å): 4.1433 6.0905 7.6055
angles (deg): 113.60 105.81 90.00
Fractional coordinates of all 6 atoms:
Dy 0.0000 0.0000 0.0000
Dy 0.6549 0.6549 0.3098
Dy 0.3451 0.3451 0.6902
Te 0.6724 0.1724 0.3447
Te 0.3276 0.8276 0.6553
Zn 0.0000 0.5000 0.0000

Results
Space-group type   Immm, No. 71
ρ   7.991 g/cm³
VASP energy   -4.51 eV per atom
Distance to the lowest polymorph of the same formula   0 meV/atom

=====

3.
Density functional theory data (GGA-PBE) for a relaxed Dy4ZnTe3 crystal.

a b c (Å): 4.1895 7.5565 7.5565
angles (deg): 107.99 90.00 90.00
Fractional coordinates of all 8 atoms:
Te 0.5000 0.5000 0.5000
Te 0.0000 0.0000 0.5000
Te 0.0000 0.5000 0.0000
Dy 0.5000 0.7630 0.2370
Dy 0.0000 0.2303 0.2303
Dy 0.5000 0.2370 0.7630
Dy 0.0000 0.7697 0.7697
Zn 0.5000 0.0000 0.0000

Results
Space-group type   Cmmm, No. 65
ρ   8.015 g/cm³
VASP energy   -4.70 eV per atom

=====

4.
Density functional theory data (GGA-PBE) for a relaxed Dy3ZnTe crystal.

a b c (Å): 4.6803 8.9566 6.4914
angles (deg): 91.10 90.00 105.15
Fractional coordinates of all 10 atoms:
Zn 0.2148 0.4297 0.1144
Zn 0.7852 0.5703 0.8856
Dy 0.7927 0.5853 0.3581
Dy 0.0075 0.0149 0.2552
Dy 0.9925 0.9851 0.7448
Dy 0.3819 0.7637 0.0070
Dy 0.6181 0.2363 0.9930
Dy 0.2073 0.4147 0.6419
Te 0.6030 0.2061 0.4908
Te 0.3970 0.7939 0.5092

Results
Space-group type   C2/m, No. 12
ρ   8.606 g/cm³
VASP energy   -4.17 eV per atom

=====

5.
Density functional theory data (GGA-PBE) for a relaxed Dy5ZnTe4 crystal.

a b c (Å): 6.1120 7.4943 7.4943
angles (deg): 80.43 65.93 65.93
Fractional coordinates of all 10 atoms:
Dy 0.7224 0.1817 0.3752
Dy 0.2793 0.8183 0.6248
Dy 0.5017 0.0000 0.0000
Dy 0.9041 0.3752 0.8183
Dy 0.0976 0.6248 0.1817
Te 0.1948 0.2150 0.3971
Te 0.4098 0.3971 0.7850
Te 0.5919 0.6029 0.2150
Te 0.8069 0.7850 0.6029
Zn 0.0018 0.0000 0.0000

Results
Space-group type   I4, No. 79
ρ   8.055 g/cm³
VASP energy   -4.80 eV per atom

=====

6.
Density functional theory data (GGA-PBE) for a relaxed Dy4ZnTe2 crystal.

a b c (Å): 4.4901 7.6836 11.9726
angles (deg): 90.00 90.00 90.00
Fractional coordinates of all 14 atoms:
Te 0.5000 0.4190 0.6736
Te 0.5000 0.5810 0.3264
Te 0.5000 0.0810 0.1736
Te 0.5000 0.9190 0.8264
Dy 0.0000 0.3579 0.2131
Dy 0.5000 0.2926 0.9415
Dy 0.0000 0.8579 0.2869
Dy 0.5000 0.7074 0.0585
Dy 0.0000 0.6421 0.7869
Dy 0.0000 0.1421 0.7131
Dy 0.5000 0.2074 0.4415
Dy 0.5000 0.7926 0.5585
Zn 0.0000 0.5000 0.0000
Zn 0.0000 0.0000 0.5000

Results
Space-group type   Pbam, No. 55
ρ   7.804 g/cm³
VASP energy   -4.48 eV per atom

=====

7.
Density functional theory data (GGA-PBE) for a relaxed Dy4ZnTe crystal.

a b c (Å): 6.1069 8.3375 6.4386
angles (deg): 90.00 90.00 89.12
Fractional coordinates of all 12 atoms:
Dy 0.8672 0.3093 0.9981
Dy 0.3486 0.0623 0.7500
Dy 0.1328 0.6907 0.0019
Dy 0.6142 0.6429 0.7500
Dy 0.3859 0.3571 0.2500
Dy 0.8672 0.3093 0.5019
Dy 0.1328 0.6907 0.4981
Dy 0.6514 0.9377 0.2500
Zn 0.2800 0.4001 0.7500
Zn 0.7200 0.5999 0.2500
Te 0.8402 0.9702 0.7500
Te 0.1598 0.0298 0.2500

Results
Space-group type   P2_1/m, No. 11
ρ   8.541 g/cm³
VASP energy   -4.30 eV per atom
Distance to the lowest polymorph of the same formula   32 meV/atom

=====

8.
Density functional theory data (GGA-PBE) for a relaxed Dy3ZnTe2 crystal.

a b c (Å): 4.3330 6.0392 7.8248
angles (deg): 112.70 90.00 90.00
Fractional coordinates of all 6 atoms:
Te 0.5000 0.3453 0.6906
Te 0.5000 0.6547 0.3094
Zn 0.0000 0.0000 0.0000
Dy 0.5000 0.8685 0.7369
Dy 0.5000 0.1315 0.2631
Dy 0.0000 0.5000 0.0000

Results
Space-group type   Cmmm, No. 65
ρ   7.104 g/cm³
VASP energy   -4.37 eV per atom
Distance to the lowest polymorph of the same formula   145 meV/atom

=====

9.
Density functional theory data (GGA-PBE) for a relaxed Dy3ZnTe6 crystal.

a b c (Å): 7.1360 9.6359 9.6359
angles (deg): 101.89 90.00 90.00
Fractional coordinates of all 20 atoms:
Dy 0.9802 0.7256 0.9273
Dy 0.3864 0.3911 0.6089
Dy 0.4802 0.2744 0.0727
Dy 0.8864 0.6089 0.3911
Dy 0.4802 0.9273 0.7256
Dy 0.9802 0.0727 0.2744
Te 0.2083 0.4447 0.9101
Te 0.7083 0.9101 0.4447
Te 0.6680 0.9604 0.0396
Te 0.1605 0.7743 0.2257
Te 0.6831 0.6353 0.6890
Te 0.1680 0.0396 0.9604
Te 0.1831 0.6890 0.6353
Te 0.6605 0.2257 0.7743
Te 0.7083 0.5553 0.0899
Te 0.6831 0.3110 0.3647
Te 0.1831 0.3647 0.3110
Te 0.2083 0.0899 0.5553
Zn 0.5273 0.7932 0.2068
Zn 0.0273 0.2068 0.7932

Results
Space-group type   Cmc2_1, No. 36
ρ   6.754 g/cm³
VASP energy   -4.45 eV per atom

=====

10.
Density functional theory data (GGA-PBE) for a relaxed Dy8Zn2Te crystal.

a b c (Å): 5.6197 8.0166 8.0166
angles (deg): 115.39 99.13 99.13
Fractional coordinates of all 11 atoms:
Dy 0.1075 0.3226 0.0816
Dy 0.5000 0.2391 0.7609
Dy 0.7023 0.3987 0.3987
Dy 0.8925 0.9184 0.6774
Dy 0.8925 0.6774 0.9184
Dy 0.5000 0.7609 0.2391
Dy 0.1075 0.0816 0.3226
Dy 0.2977 0.6013 0.6013
Zn 0.0000 0.3076 0.6924
Zn 0.0000 0.6924 0.3076
Te 0.5000 0.0000 0.0000

Results
Space-group type   C2/m, No. 12
ρ   8.306 g/cm³
VASP energy   -4.06 eV per atom

=====

11.
Density functional theory data (GGA-PBE) for a relaxed Dy5Zn2Te2 crystal.

a b c (Å): 7.9212 7.8359 8.6980
angles (deg): 90.00 62.91 90.00
Fractional coordinates of all 18 atoms:
Dy 0.2943 0.6640 0.7446
Dy 0.5000 0.5000 0.0000
Dy 0.2057 0.1640 0.2554
Dy 0.7943 0.8360 0.7446
Dy 0.0000 0.0000 0.0000
Dy 0.7057 0.3360 0.2554
Dy 0.4610 0.1640 0.7446
Dy 0.5390 0.8360 0.2554
Dy 0.0390 0.6640 0.2554
Dy 0.9610 0.3360 0.7446
Te 0.2954 0.5000 0.4092
Te 0.7046 0.5000 0.5908
Te 0.2046 0.0000 0.5908
Te 0.7954 0.0000 0.4092
Zn 0.1270 0.3766 0.0000
Zn 0.6270 0.1234 0.0000
Zn 0.8730 0.6234 0.0000
Zn 0.3730 0.8766 0.0000

Results
Space-group type   Cmce, No. 64
ρ   8.281 g/cm³
VASP energy   -4.27 eV per atom

=====

12.
Density functional theory data (GGA-PBE) for a relaxed Dy7Zn2Te2 crystal.

a b c (Å): 6.6325 7.6531 6.6325
angles (deg): 89.97 107.16 90.03
Fractional coordinates of all 11 atoms:
Zn 0.8335 0.5000 0.8335
Zn 0.1665 0.5000 0.1665
Dy 0.5003 0.7106 0.0001
Dy 0.4997 0.2894 0.9999
Dy 0.9999 0.7106 0.4997
Dy 0.5000 0.7204 0.5000
Dy 0.0001 0.2894 0.5003
Dy 0.0000 0.0000 0.0000
Dy 0.5000 0.2796 0.5000
Te 0.7138 0.0002 0.2862
Te 0.2862 0.9998 0.7138

Results
Space-group type   Cmmm, No. 65
ρ   7.865 g/cm³
VASP energy   -4.01 eV per atom
Distance to the lowest polymorph of the same formula   322 meV/atom

=====

13.
Density functional theory data (GGA-PBE) for a relaxed Dy4ZnTe crystal.

a b c (Å): 3.9109 8.4138 19.7684
angles (deg): 90.00 90.00 90.00
Fractional coordinates of all 24 atoms:
Dy 0.2500 0.1657 0.3462
Dy 0.7500 0.8779 0.4400
Dy 0.7500 0.9883 0.2186
Dy 0.7500 0.9781 0.9286
Dy 0.7500 0.8343 0.6538
Dy 0.7500 0.4781 0.5714
Dy 0.2500 0.0117 0.7814
Dy 0.2500 0.1221 0.5600
Dy 0.7500 0.3779 0.0600
Dy 0.2500 0.0219 0.0714
Dy 0.2500 0.6657 0.1538
Dy 0.7500 0.3343 0.8462
Dy 0.7500 0.4883 0.2814
Dy 0.2500 0.6221 0.9400
Dy 0.2500 0.5117 0.7186
Dy 0.2500 0.5219 0.4286
Zn 0.7500 0.2448 0.4548
Zn 0.2500 0.7552 0.5452
Zn 0.2500 0.2552 0.9548
Zn 0.7500 0.7448 0.0452
Te 0.2500 0.2861 0.1866
Te 0.7500 0.7139 0.8134
Te 0.7500 0.2139 0.6866
Te 0.2500 0.7861 0.3134

Results
Space-group type   Pnma, No. 62
ρ   8.608 g/cm³
VASP energy   -4.33 eV per atom
Distance to the lowest polymorph of the same formula   0 meV/atom

=====

14.
Density functional theory data (GGA-PBE) for a relaxed Dy6ZnTe3 crystal.

a b c (Å): 3.9906 11.9892 12.7251
angles (deg): 104.28 90.00 90.00
Fractional coordinates of all 20 atoms:
Dy 0.7500 0.4853 0.6496
Dy 0.7500 0.4180 0.1123
Dy 0.7500 0.1084 0.4587
Dy 0.7500 0.9434 0.1305
Dy 0.2500 0.2401 0.6964
Dy 0.2500 0.5147 0.3504
Dy 0.2500 0.2092 0.2425
Dy 0.2500 0.8916 0.5413
Dy 0.7500 0.7908 0.7575
Dy 0.7500 0.7599 0.3036
Dy 0.2500 0.0566 0.8695
Dy 0.2500 0.5820 0.8877
Te 0.7500 0.1590 0.0496
Te 0.7500 0.6720 0.5135
Te 0.2500 0.6167 0.1405
Te 0.2500 0.8410 0.9504
Te 0.2500 0.3280 0.4865
Te 0.7500 0.3833 0.8595
Zn 0.2500 0.9602 0.3127
Zn 0.7500 0.0398 0.6873

Results
Space-group type   P2_1/m, No. 11
ρ   8.011 g/cm³
VASP energy   -4.59 eV per atom

=====

15.
Density functional theory data (GGA-PBE) for a relaxed Dy7Zn2Te2 crystal.

a b c (Å): 4.1181 9.3230 9.3230
angles (deg): 62.10 77.24 77.24
Fractional coordinates of all 11 atoms:
Dy 0.5000 0.0147 0.9853
Dy 0.6280 0.4780 0.2660
Dy 0.8597 0.4029 0.8777
Dy 0.1403 0.1223 0.5971
Dy 0.8154 0.0832 0.2860
Dy 0.1846 0.7140 0.9168
Dy 0.3720 0.7340 0.5220
Zn 0.2650 0.3325 0.1375
Zn 0.7350 0.8625 0.6675
Te 0.0000 0.7535 0.2465
Te 0.5000 0.3562 0.6438

Results
Space-group type   Imm2, No. 44
ρ   8.277 g/cm³
VASP energy   -4.33 eV per atom
Distance to the lowest polymorph of the same formula   0 meV/atom

=====

16.
Density functional theory data (GGA-PBE) for a relaxed DyZrTe crystal.

a b c (Å): 3.7747 4.9659 4.9659
angles (deg): 120.00 90.00 90.00
Fractional coordinates of all 3 atoms:
Dy 0.6663 0.6667 0.3333
Zr 0.1664 0.0000 0.0000
Te 0.1674 0.3333 0.6667

Results
Space-group type   P-6m2, No. 187
ρ   7.855 g/cm³
VASP energy   -5.77 eV per atom
Distance to the lowest polymorph of the same formula   245 meV/atom

=====

17.
Density functional theory data (GGA-PBE) for a relaxed Dy2ZrTe5 crystal.

a b c (Å): 5.9884 7.7584 14.2307
angles (deg): 90.00 90.00 112.70
Fractional coordinates of all 16 atoms:
Dy 0.8436 0.6871 0.0579
Dy 0.1564 0.3129 0.5579
Dy 0.1564 0.3129 0.9421
Dy 0.8436 0.6871 0.4421
Te 0.3248 0.6496 0.4182
Te 0.0462 0.0924 0.1225
Te 0.9538 0.9076 0.6225
Te 0.7351 0.4702 0.2500
Te 0.6752 0.3504 0.9182
Te 0.0462 0.0924 0.3775
Te 0.6752 0.3504 0.5818
Te 0.9538 0.9076 0.8775
Te 0.3248 0.6496 0.0818
Te 0.2649 0.5298 0.7500
Zr 0.1957 0.3915 0.2500
Zr 0.8043 0.6085 0.7500

Results
Space-group type   Cmcm, No. 63
ρ   5.740 g/cm³
VASP energy   -5.26 eV per atom

=====

18.
Density functional theory data (GGA-PBE) for a relaxed Dy2ZrTe4 crystal.

a b c (Å): 4.2692 7.5449 8.0770
angles (deg): 117.32 105.32 90.00
Fractional coordinates of all 7 atoms:
Dy 0.7497 0.7650 0.4994
Dy 0.2503 0.2350 0.5006
Te 0.1133 0.7815 0.2267
Te 0.6196 0.2903 0.2392
Te 0.8867 0.2185 0.7733
Te 0.3804 0.7097 0.7608
Zr 0.0000 0.0000 0.0000

Results
Space-group type   C2/m, No. 12
ρ   6.973 g/cm³
VASP energy   -5.52 eV per atom

=====

19.
Density functional theory data (GGA-PBE) for a relaxed DyZrTe2 crystal.

a b c (Å): 3.8729 3.8725 8.0458
angles (deg): 103.96 103.91 90.02
Each line ends with the local moment (μB).
Fractional coordinates of all 4 atoms:
Te 0.6090 0.2685 0.0035  0.00
Te 0.8337 0.4943 0.4528  0.00
Dy 0.2214 0.8815 0.2282  0.00
Zr 0.4712 0.6304 0.7282  0.16

Results
Space-group type   I-4m2, No. 119
ρ   7.449 g/cm³
VASP energy   -5.60 eV per atom
Distance to the lowest polymorph of the same formula   199 meV/atom

=====

20.
Density functional theory data (GGA-PBE) for a relaxed DyZrTe2 crystal.

a b c (Å): 3.8998 3.8998 10.0387
angles (deg): 78.80 78.80 60.00
Fractional coordinates of all 4 atoms:
Te 0.8965 0.8965 0.3105
Te 0.1035 0.1035 0.6895
Zr 0.5000 0.5000 0.5000
Dy 0.0000 0.0000 0.0000

Results
Space-group type   R-3m, No. 166
ρ   6.559 g/cm³
VASP energy   -5.48 eV per atom
Distance to the lowest polymorph of the same formula   323 meV/atom

=====

21.
Density functional theory data (GGA-PBE) for a relaxed DyZrTe3 crystal.

a b c (Å): 7.1361 7.1361 8.5955
angles (deg): 65.47 65.47 60.00
Each line ends with the local moment (μB).
Fractional coordinates of all 10 atoms:
Te 0.7310 0.4380 0.7572  -0.01
Te 0.9261 0.5620 0.2428  -0.01
Te 0.2690 0.9261 0.2428  -0.01
Te 0.0739 0.7310 0.7572  -0.01
Te 0.4380 0.0739 0.7572  -0.01
Te 0.5620 0.2690 0.2428  -0.01
Dy 0.8374 0.8374 0.4879  0.04
Dy 0.1626 0.1626 0.5121  0.04
Zr 0.3334 0.3334 0.9998  0.20
Zr 0.6666 0.6666 0.0002  0.20

Results
Space-group type   R32, No. 155
ρ   6.354 g/cm³
VASP energy   -5.43 eV per atom